# 1
VASP calculation (PBE-GGA) on crystalline HgBF3 at its relaxed geometry.

Structure (POSCAR):
```
HgBF3
1.0
3.6813 0.0000 0.0000
0.0000 5.2659 0.0000
-1.6431 0.0000 11.7167
Hg B F
2 2 6
Direct
0.2224 0.2500 0.4452
0.7776 0.7500 0.5548
0.3141 0.2500 0.8489
0.6859 0.7500 0.1511
0.2149 0.0315 0.8912
0.2149 0.4685 0.8912
0.4841 0.7500 0.2362
0.5159 0.2500 0.7638
0.7851 0.5315 0.1088
0.7851 0.9685 0.1088
```

## Properties
Relative energy among the computed polymorphs   0.000 kcal/mol of atoms
Magnetic moment   0.000 μB/f.u.
E_tot   -4.73 eV per atom
ρ   3.9 Mg/m³

# 2
VASP calculation (PBE-GGA) on crystalline HgBF at its relaxed geometry.

Structure (POSCAR):
```
HgBF
1.0
3.2405 0.0000 0.0000
-1.4914 6.0718 0.0000
-0.0059 -2.4853 5.8999
Hg B F
2 2 2
Direct
0.1521 0.2967 0.3475
0.8479 0.7033 0.6525
0.4938 0.9950 0.8675
0.5062 0.0050 0.1325
0.4251 0.8143 0.1935
0.5749 0.1857 0.8065
```

## Properties
Magnetic moment   0.000 μB/f.u.
E_tot   -3.71 eV per atom
ρ   6.6 Mg/m³

# 3
VASP calculation (PBE-GGA) on crystalline HgB3F at its relaxed geometry.

Structure (POSCAR):
```
HgB3F
1.0
4.0360 0.0000 0.0000
0.0000 4.0360 0.0000
0.0000 0.0000 4.0360
Hg B F
1 3 1
Direct
0.0000 0.0000 0.0000
0.0000 0.5000 0.5000
0.5000 0.0000 0.5000
0.5000 0.5000 0.0000
0.5000 0.5000 0.5000
```

## Properties
Relative energy among the computed polymorphs   0.000 kcal/mol of atoms
Magnetic moment   0.000 μB/f.u.
E_tot   -2.52 eV per atom
ρ   6.4 Mg/m³

# 4
VASP calculation (PBE-GGA) on crystalline InHgBF4 at its relaxed geometry.

Structure (POSCAR):
```
InHgBF4
1.0
6.4746 -3.1511 0.0000
6.4746 3.1511 0.0000
-2.7137 0.0000 6.7644
In Hg B F
2 2 2 8
Direct
0.1875 0.1875 0.2743
0.8125 0.8125 0.7257
0.4377 0.4377 0.7517
0.5623 0.5623 0.2483
0.1508 0.1508 0.7854
0.8492 0.8492 0.2146
0.0347 0.6682 0.3287
0.0580 0.0580 0.8454
0.2491 0.2491 0.9595
0.3318 0.9653 0.6713
0.6682 0.0347 0.3287
0.7509 0.7509 0.0405
0.9420 0.9420 0.1546
0.9653 0.3318 0.6713
```

## Properties
Magnetic moment   0.000 μB/f.u.
E_tot   -4.62 eV per atom
ρ   4.8 Mg/m³

# 5
VASP calculation (PBE-GGA) on crystalline KHgBF2 at its relaxed geometry.

Structure (POSCAR):
```
KHgBF2
1.0
4.4113 0.0000 0.0000
0.0000 4.4113 0.0000
0.0000 0.0000 5.4957
K Hg B F
1 1 1 2
Direct
0.0000 0.0000 0.0000
0.5000 0.5000 0.0000
0.0000 0.0000 0.5000
0.0000 0.5000 0.5000
0.5000 0.0000 0.5000
```

## Properties
Magnetic moment   0.000 μB/f.u.
E_tot   -2.63 eV per atom
ρ   4.5 Mg/m³

# 6
VASP calculation (PBE-GGA) on crystalline KHgB2F8 at its relaxed geometry.

Structure (POSCAR):
```
KHgB2F8
1.0
2.6716 1.5424 7.3689
-2.6716 1.5424 7.3689
0.0000 -3.0849 7.3689
K Hg B F
1 1 2 8
Direct
0.0000 0.0000 0.0000
0.5000 0.5000 0.5000
0.2580 0.2580 0.2580
0.7420 0.7420 0.7420
0.0299 0.1641 0.5159
0.1641 0.5159 0.0299
0.3219 0.3219 0.3219
0.4841 0.9701 0.8359
0.5159 0.0299 0.1641
0.6781 0.6781 0.6781
0.8359 0.4841 0.9701
0.9701 0.8359 0.4841
```

## Properties
Magnetic moment   0.984 μB/f.u.
E_tot   -5.08 eV per atom
ρ   3.8 Mg/m³